No. 1
LiSbPt4: relaxed, PBE-GGA.

Computed properties:
Its volume is 17.975 Å³ per atom. The total energy comes out at -5.282 eV/atom. The total magnetization comes out at 0.000 μB/f.u. The offset from the most stable computed form comes out at 61.0 kJ/mol of formula units.

Cell lengths 7.556, 7.556, 7.556 Å; angles 90.00, 90.00, 90.00 degrees
Space group F-43m (No. 216)
Unique sites:
Li 0.000 0.000 0.000 [4 per cell]
Sb 0.250 0.250 0.250 [4 per cell]
Pt 0.125 0.125 0.625 [16 per cell]



No. 2
LiSbPt3: relaxed, PBE-GGA.

Computed properties:
Its volume is 16.756 Å³ per atom. The total energy comes out at -4.571 eV/atom. The total magnetization comes out at 0.000 μB/f.u. The offset from the most stable computed form comes out at 309.5 kJ/mol of formula units.

Cell lengths 4.376, 4.376, 4.376 Å; angles 90.00, 90.00, 90.00 degrees
Space group Pm-3m (No. 221)
Unique sites:
Li 0.000 0.000 0.000 [1 per cell]
Sb 0.500 0.500 0.500 [1 per cell]
Pt 0.000 0.000 0.500 [3 per cell]